No. 1
Density functional theory data (PBEsol) for a geometry-optimized NpScRu2 structure.

a = 6.467 Å, b = 6.467 Å, c = 6.467 Å
α = 90.00°, β = 90.00°, γ = 90.00°
Sites, in units of the cell vectors:
Np  0.000  0.000  0.000
Np  0.000  0.500  0.500
Np  0.500  0.000  0.500
Np  0.500  0.500  0.000
Sc  0.000  0.000  0.500
Sc  0.000  0.500  0.000
Sc  0.500  0.000  0.000
Sc  0.500  0.500  0.500
Ru  0.250  0.250  0.250
Ru  0.250  0.250  0.750
Ru  0.250  0.750  0.250
Ru  0.250  0.750  0.750
Ru  0.750  0.250  0.250
Ru  0.750  0.250  0.750
Ru  0.750  0.750  0.250
Ru  0.750  0.750  0.750

Output
VASP energy in eV per atom: -10.399
DFT formation energy in eV/atom: -0.20

---

No. 2
Density functional theory data (PBEsol) for a geometry-optimized NpSi2Ru2 structure.

a = 4.094 Å, b = 4.094 Å, c = 9.536 Å
α = 90.00°, β = 90.00°, γ = 90.00°
Sites, in units of the cell vectors:
Np  0.000  0.000  0.000
Np  0.500  0.500  0.500
Si  0.000  0.000  0.374
Si  0.000  0.000  0.626
Si  0.500  0.500  0.126
Si  0.500  0.500  0.874
Ru  0.000  0.500  0.250
Ru  0.000  0.500  0.750
Ru  0.500  0.000  0.250
Ru  0.500  0.000  0.750

Output
VASP energy in eV per atom: -9.642

---

no.,V (Å³/cell),N(E_F) (states/eV per cell)
1,270,13.067
2,160,23.800